VASP calculation (GGA-PBE) on GdSnIrRh after structural relaxation.

Results
- symmetry = F-43m, No. 216

Structure (POSCAR):
```
GdSnIrRh
1.0
-3.1896 2.9726 1.8612
-4.2555 -1.6154 1.3247
-1.1006 -0.2825 4.6024
Gd Ir Rh Sn
1 1 1 1
direct
0.7500 0.7500 0.7500
0.5000 0.5000 0.5000
0.0000 0.0000 0.0000
0.2500 0.2500 0.2500
```

***

VASP calculation (GGA-PBE) on GdTmIrRh after structural relaxation.

Results
- symmetry = F-43m, No. 216

Structure (POSCAR):
```
GdTmIrRh
1.0
-4.6889 -0.5882 -1.0249
-1.8782 -4.4481 -0.2615
-3.0479 -1.5425 3.4224
Gd Rh Ir Tm
1 1 1 1
direct
0.5000 0.5000 0.5000
0.2500 0.2500 0.2500
0.7500 0.7500 0.7500
0.0000 0.0000 0.0000
```

***

VASP calculation (GGA-PBE) on GdZnIrRh after structural relaxation.

Results
- symmetry = F-43m, No. 216

Structure (POSCAR):
```
GdZnIrRh
1.0
4.6066 0.0000 0.0000
2.3033 3.9895 0.0000
2.3033 1.3298 3.7613
Gd Zn Ir Rh
1 1 1 1
direct
0.7500 0.7500 0.7500
0.2500 0.2500 0.2500
0.0000 0.0000 0.0000
0.5000 0.5000 0.5000
```

***

VASP calculation (GGA-PBE) on GdZrIrRh after structural relaxation.

Results
- symmetry = F-43m, No. 216

Structure (POSCAR):
```
GdZrIrRh
1.0
-2.0228 2.7873 -3.3105
1.7785 0.1204 -4.4320
-2.4409 -1.9622 -3.6073
Gd Ir Rh Zr
1 1 1 1
direct
0.7500 0.7500 0.7500
0.0000 0.0000 0.0000
0.5000 0.5000 0.5000
0.2500 0.2500 0.2500
```

***

VASP calculation (GGA-PBE) on Gd2IrRu after structural relaxation.

Results
- symmetry = P4/mmm, No. 123

Structure (POSCAR):
```
Gd2IrRu
1.0
3.4654 0.0000 0.0000
0.0000 4.8568 0.0000
0.0000 0.0000 4.8568
Gd Ru Ir
2 1 1
direct
0.0000 0.0000 0.5000
0.0000 0.5000 0.0000
0.5000 0.0000 0.0000
0.5000 0.5000 0.5000
```

***

VASP calculation (GGA-PBE) on Gd2IrRu after structural relaxation.

Results
- symmetry = Fm-3m, No. 225

Structure (POSCAR):
```
Gd2IrRu
1.0
-2.5802 4.1254 0.2366
-4.8515 -0.1338 -0.4212
-2.8074 0.8981 3.8787
Gd Ru Ir
2 1 1
direct
0.2500 0.2500 0.2500
0.7500 0.7500 0.7500
0.5000 0.5000 0.5000
0.0000 0.0000 0.0000
```

***

VASP calculation (GGA-PBE) on SmGdIrRu after structural relaxation.

Results
- symmetry = F-43m, No. 216

Structure (POSCAR):
```
SmGdIrRu
1.0
-0.9481 3.6892 -3.0862
-4.5811 0.7693 -1.5668
-2.4981 3.9195 1.5590
Gd Ru Ir Sm
1 1 1 1
direct
0.0000 0.0000 0.0000
0.2500 0.2500 0.2500
0.7500 0.7500 0.7500
0.5000 0.5000 0.5000
```

***

VASP calculation (GGA-PBE) on GdSnIrRu after structural relaxation.

Results
- symmetry = F-43m, No. 216

Structure (POSCAR):
```
GdSnIrRu
1.0
4.7122 0.0000 0.0000
2.3561 4.0809 0.0000
2.3561 1.3603 3.8475
Gd Ru Ir Sn
1 1 1 1
direct
0.0000 0.0000 0.0000
0.7500 0.7500 0.7500
0.2500 0.2500 0.2500
0.5000 0.5000 0.5000
```

***

VASP calculation (GGA-PBE) on GdTaIrRu after structural relaxation.

Results
- symmetry = F-43m, No. 216

Structure (POSCAR):
```
GdTaIrRu
1.0
4.6717 0.0000 0.0000
2.3358 4.0458 0.0000
2.3358 1.3486 3.8144
Gd Ru Ir Ta
1 1 1 1
direct
0.5000 0.5000 0.5000
0.2500 0.2500 0.2500
0.7500 0.7500 0.7500
0.0000 0.0000 0.0000
```

***

VASP calculation (GGA-PBE) on TbGdIrRu after structural relaxation.

Results
- symmetry = F-43m, No. 216

Structure (POSCAR):
```
TbGdIrRu
1.0
4.8596 0.0000 0.0000
2.4298 4.2085 0.0000
2.4298 1.4028 3.9678
Gd Ru Ir Tb
1 1 1 1
direct
0.5000 0.5000 0.5000
0.2500 0.2500 0.2500
0.7500 0.7500 0.7500
0.0000 0.0000 0.0000
```

***

VASP calculation (GGA-PBE) on GdThIrRu after structural relaxation.

Results
- symmetry = F-43m, No. 216

Structure (POSCAR):
```
GdThIrRu
1.0
-4.2503 -2.4778 0.6771
-1.5198 -1.1143 4.5947
-3.9415 2.3148 1.9415
Gd Ru Ir Th
1 1 1 1
direct
0.0000 0.0000 0.0000
0.2500 0.2500 0.2500
0.7500 0.7500 0.7500
0.5000 0.5000 0.5000
```

***

VASP calculation (GGA-PBE) on GdTmIrRu after structural relaxation.

Results
- symmetry = F-43m, No. 216

Structure (POSCAR):
```
GdTmIrRu
1.0
4.8154 0.0000 0.0000
2.4077 4.1702 0.0000
2.4077 1.3901 3.9317
Gd Ru Ir Tm
1 1 1 1
direct
0.2500 0.2500 0.2500
0.5000 0.5000 0.5000
0.0000 0.0000 0.0000
0.7500 0.7500 0.7500
```

***

Listing E_form for the structures above in their given order: -607; -868; -466; -743; -506; -514; -462; -435; -318; -541; -565; -608 meV/atom.